Entry from Alexandria via LeMat-Bulk: an optimized crystal structure of U3Tl4VO12 (GGA+U). Values from VASP.

```
&SYSTEM
  ibrav = 0, nat = 20, ntyp = 4
/
ATOMIC_SPECIES
U 238.03 U.upf
Tl 204.38 Tl.upf
V 50.94 V.upf
O 16.00 O.upf
CELL_PARAMETERS angstrom
-4.313 4.313 4.313
4.313 -4.313 4.313
4.313 4.313 -4.313
ATOMIC_POSITIONS crystal
U 0.000 0.500 0.500
U 0.500 0.000 0.500
U 0.500 0.500 0.000
Tl 0.000 0.000 0.500
Tl 0.000 0.500 0.000
Tl 0.500 0.000 0.000
Tl 0.500 0.500 0.500
V 0.000 0.000 0.000
O 0.000 0.268 0.268
O 0.000 0.732 0.732
O 0.250 0.500 0.750
O 0.250 0.750 0.500
O 0.268 0.000 0.268
O 0.268 0.268 0.000
O 0.500 0.250 0.750
O 0.500 0.750 0.250
O 0.732 0.000 0.732
O 0.732 0.732 0.000
O 0.750 0.250 0.500
O 0.750 0.500 0.250
```

Computed properties:
Total magnetization, μB per formula unit: 3.00
Uncorrected energy, eV/cell: -155.80
Calculated volume, Å³/atom: 16.0